Entry 1:
GdTmAl | Alexandria | PBE-GGA | optimized geometry; space-group type = P3m1, No. 156; E_form = -0.150 eV/atom; N(E_F) = 2.49 states/eV/cell
1.0
5.056 0.000 0.000
-2.528 4.378 0.000
0.000 0.000 3.533
Gd Tm Al
1 1 1
direct
0.000 0.000 0.000
0.667 0.333 0.562
0.333 0.667 0.320



Entry 2:
TiFeP2S | Alexandria | PBE-GGA | optimized geometry; space-group type = P4/mmm, No. 123; formation energy from raw total energies = 25.7 kJ per mole of atoms; N(E_F) = 5.38 states/eV/cell
1.0
4.165 0.000 0.000
0.000 4.165 0.000
0.000 0.000 4.934
Ti Fe P S
1 1 2 1
direct
0.000 0.000 0.000
0.500 0.500 0.500
0.000 0.500 0.500
0.500 0.000 0.500
0.500 0.500 0.000



Entry 3:
TaIBr2 | Alexandria | PBE-GGA | optimized geometry; space-group type = Fm-3m, No. 225; formation energy from raw total energies = 78.8 kJ per mole of atoms; N(E_F) = 4.06 states/eV/cell
1.0
0.000 3.665 3.665
3.665 0.000 3.665
3.665 3.665 0.000
Ta I Br
1 1 2
direct
0.000 0.000 0.000
0.500 0.500 0.500
0.250 0.250 0.250
0.750 0.750 0.750



| no. | calculated total energy (eV per atom) | distance to the lowest polymorph of the same formula (eV/f.u.) | total magnetization (μB per atom) |
| --- | --- | --- | --- |
| 1 | -7.581 | 0.00 | 2.418 |
| 2 | -5.994 | 0.00 | 0.440 |
| 3 | -3.370 | 5.76 | 0.500 |